No. 1
Compound: LiFeSb2
Source: Alexandria
Functional: SCAN
Structure: single point on PBEsol structure

Formation energy without anion corrections ... 0.09 eV/atom
Uncorrected energy ... -23.666 eV per atom
Density of states at the Fermi level ... 0.637 states/eV per atom
Offset from the most stable computed form ... 0.30 eV/f.u.

a b c (Å): 3.924 3.924 5.574
angles (deg): 110.61 110.61 90.00
Last column: magnetic moment on the atom in μB.
Atoms (fractional coordinates):
Fe1 0.500 0.500 0.000  2.99
Li1 0.250 0.750 0.500  -0.01
Sb1 0.000 0.000 0.000  0.01
Sb2 0.750 0.250 0.500  0.01


No. 2
Compound: Be2In2Ga
Source: Alexandria
Functional: SCAN
Structure: single point on PBEsol structure

Energy of formation from the pure elements ... 428.8 kJ/mol of formula units
Uncorrected energy ... -17.476 eV per atom
Density of states at the Fermi level ... 0.379 states/eV per atom

a b c (Å): 4.484 4.484 5.798
angles (deg): 90.00 90.00 90.00
Atoms (fractional coordinates):
Be1 0.000 0.500 0.000
Be2 0.500 0.000 0.000
Ga1 0.500 0.500 0.500
In1 0.000 0.000 0.000
In2 0.000 0.000 0.500


No. 3
Compound: BaPdI3
Source: Alexandria
Functional: SCAN
Structure: single point on PBEsol structure

Formation energy without anion corrections ... -1.08 eV/atom
Uncorrected energy ... -37.593 eV per atom
Density of states at the Fermi level ... 0.208 states/eV per atom

a b c (Å): 5.515 5.515 5.515
angles (deg): 90.00 90.00 90.00
Atoms (fractional coordinates):
I1 0.000 0.500 0.000
I2 0.000 0.000 0.500
I3 0.500 0.000 0.000
Ba1 0.500 0.500 0.500
Pd1 0.000 0.000 0.000


No. 4
Compound: LiAl4
Source: Alexandria
Functional: SCAN
Structure: single point on PBEsol structure

Energy of formation from the pure elements ... -20.4 kJ/mol of formula units
Uncorrected energy ... -6.722 eV per atom
Density of states at the Fermi level ... 0.336 states/eV per atom

a b c (Å): 3.934 4.940 4.940
angles (deg): 80.88 66.53 66.53
Atoms (fractional coordinates):
Al1 0.598 0.200 0.605
Al2 0.798 0.605 0.800
Al3 0.402 0.800 0.395
Al4 0.202 0.395 0.200
Li1 0.000 0.000 0.000


No. 5
Compound: KNi2Au2
Source: Alexandria
Functional: SCAN
Structure: single point on PBEsol structure

Energy of formation from the pure elements ... 81.3 kJ/mol of formula units
Uncorrected energy ... -35.629 eV per atom
Density of states at the Fermi level ... 0.643 states/eV per atom

a b c (Å): 4.047 4.047 6.408
angles (deg): 108.41 108.41 90.00
Last column: magnetic moment on the atom in μB.
Atoms (fractional coordinates):
Ni1 0.250 0.750 0.500  0.98
Ni2 0.750 0.250 0.500  0.98
K1 0.000 0.000 0.000  -0.01
Au1 0.382 0.382 0.763  0.04
Au2 0.618 0.618 0.237  0.04


No. 6
Compound: NaWI2N
Source: Alexandria
Functional: SCAN
Structure: single point on PBEsol structure

Formation energy without anion corrections ... 1.74 eV/atom
Uncorrected energy ... -29.592 eV per atom
Density of states at the Fermi level ... 0.626 states/eV per atom

a b c (Å): 4.213 5.617 5.617
angles (deg): 90.00 90.00 90.00
Last column: magnetic moment on the atom in μB.
Atoms (fractional coordinates):
I1 0.000 0.000 0.500  0.00
I2 0.000 0.500 0.000  0.00
Na1 0.000 0.000 0.000  0.01
W1 0.500 0.500 0.500  3.43
N1 0.500 0.000 0.000  1.64


No. 7
Compound: SrLa4Tc
Source: Alexandria
Functional: SCAN
Structure: single point on PBEsol structure

Energy of formation from the pure elements ... 463.3 kJ/mol of formula units
Uncorrected energy ... -37.492 eV per atom
Density of states at the Fermi level ... 1.718 states/eV per atom

a b c (Å): 6.317 6.317 6.317
angles (deg): 60.00 60.00 60.00
Last column: magnetic moment on the atom in μB.
Atoms (fractional coordinates):
La1 0.373 0.373 0.373  -0.13
La2 0.373 0.373 0.882  -0.13
La3 0.882 0.373 0.373  -0.13
La4 0.373 0.882 0.373  -0.13
Sr1 0.750 0.750 0.750  -0.04
Tc1 0.000 0.000 0.000  2.49


No. 8
Compound: Ti3HOs
Source: Alexandria
Functional: SCAN
Structure: single point on PBEsol structure

Uncorrected energy ... -25.009 eV per atom
Density of states at the Fermi level ... 1.100 states/eV per atom

a b c (Å): 3.976 3.976 3.976
angles (deg): 90.00 90.00 90.00
Atoms (fractional coordinates):
H1 0.000 0.000 0.000
Os1 0.500 0.500 0.500
Ti1 0.000 0.500 0.000
Ti2 0.000 0.000 0.500
Ti3 0.500 0.000 0.000


No. 9
Compound: TeAs3N
Source: Alexandria
Functional: SCAN
Structure: single point on PBEsol structure

Formation energy without anion corrections ... 0.79 eV/atom
Uncorrected energy ... -20.630 eV per atom
Density of states at the Fermi level ... 0.399 states/eV per atom

a b c (Å): 4.431 4.431 4.431
angles (deg): 90.00 90.00 90.00
Atoms (fractional coordinates):
As1 0.000 0.500 0.000
As2 0.000 0.000 0.500
As3 0.500 0.000 0.000
Te1 0.500 0.500 0.500
N1 0.000 0.000 0.000


No. 10
Compound: Cu2RuSe
Source: Alexandria
Functional: SCAN
Structure: single point on PBEsol structure

Formation energy without anion corrections ... 0.41 eV/atom
Uncorrected energy ... -20.911 eV per atom
Density of states at the Fermi level ... 0.750 states/eV per atom

a b c (Å): 2.832 4.397 4.367
angles (deg): 90.00 92.26 90.00
Last column: magnetic moment on the atom in μB.
Atoms (fractional coordinates):
Cu1 0.816 0.000 0.755  0.03
Cu2 0.184 0.000 0.245  0.03
Ru1 0.500 0.500 0.000  0.64
Se1 0.000 0.500 0.500  0.01


No. 11
Compound: CdRu2Br
Source: Alexandria
Functional: SCAN
Structure: single point on PBEsol structure

Formation energy without anion corrections ... 0.89 eV/atom
Uncorrected energy ... -28.987 eV per atom
Density of states at the Fermi level ... 1.140 states/eV per atom
Offset from the most stable computed form ... 0.80 eV/f.u.

a b c (Å): 2.902 4.960 5.368
angles (deg): 117.51 105.68 90.00
Atoms (fractional coordinates):
Ru1 0.770 0.770 0.541
Ru2 0.230 0.230 0.459
Br1 0.500 0.000 0.000
Cd1 0.000 0.500 0.000


No. 12
Compound: KAlCo3Si3H2O12
Source: Alexandria
Functional: SCAN
Structure: single point on PBEsol structure

Uncorrected energy ... -10.427 eV per atom

a b c (Å): 5.232 5.230 10.552
angles (deg): 80.83 85.45 59.90
Last column: magnetic moment on the atom in μB.
Atoms (fractional coordinates):
K1 0.001 0.004 0.987  0.00
Al1 0.338 0.403 0.769  0.00
Co1 0.689 0.139 0.505  2.65
Co2 0.309 0.829 0.503  2.65
Co3 0.999 0.537 0.503  2.68
Si1 0.664 0.738 0.773  0.00
Si2 0.667 0.585 0.241  0.01
Si3 0.334 0.250 0.241  0.01
H1 0.004 0.128 0.691  0.00
H2 0.987 0.904 0.288  0.01
O1 0.001 0.159 0.597  0.15
O2 0.996 0.879 0.382  0.12
O3 0.988 0.462 0.823  0.00
O4 0.001 0.471 0.178  0.00
O5 0.354 0.449 0.600  0.17
O6 0.650 0.797 0.614  0.12
O7 0.669 0.537 0.395  0.09
O8 0.334 0.199 0.395  0.09
O9 0.412 0.652 0.829  0.00
O10 0.602 0.037 0.830  0.00
O11 0.534 0.403 0.180  0.00
O12 0.467 0.938 0.178  0.00


No. 13
Compound: Sc2InCl
Source: Alexandria
Functional: SCAN
Structure: single point on PBEsol structure

Formation energy without anion corrections ... -0.49 eV/atom
Uncorrected energy ... -17.954 eV per atom
Density of states at the Fermi level ... 0.978 states/eV per atom
Offset from the most stable computed form ... 1.75 eV/f.u.

a b c (Å): 3.231 3.231 9.986
angles (deg): 80.69 80.69 60.00
Atoms (fractional coordinates):
Sc1 0.900 0.900 0.299
Sc2 0.100 0.100 0.701
Cl1 0.500 0.500 0.500
In1 0.000 0.000 0.000


No. 14
Compound: BaLaPb2
Source: Alexandria
Functional: SCAN
Structure: single point on PBEsol structure

Energy of formation from the pure elements ... -187.3 kJ/mol of formula units
Uncorrected energy ... -59.040 eV per atom
Density of states at the Fermi level ... 1.630 states/eV per atom

a b c (Å): 4.750 4.750 6.782
angles (deg): 90.00 90.00 90.00
Atoms (fractional coordinates):
Ba1 0.000 0.000 0.402
La1 0.500 0.500 0.857
Pb1 0.000 0.000 0.905
Pb2 0.500 0.500 0.336


No. 15
Compound: CuRh2O4
Source: Alexandria
Functional: SCAN
Structure: single point on PBEsol structure

Formation energy without anion corrections ... -0.91 eV/atom
Uncorrected energy ... -16.290 eV per atom
Density of states at the Fermi level ... 0.766 states/eV per atom

a b c (Å): 5.979 5.979 5.979
angles (deg): 90.20 119.89 119.89
Last column: magnetic moment on the atom in μB.
Atoms (fractional coordinates):
Cu1 0.500 0.750 0.250  0.41
Cu2 0.000 0.000 0.000  0.41
Rh1 0.250 0.375 0.625  0.16
Rh2 0.750 0.375 0.625  0.16
Rh3 0.250 0.875 0.625  0.16
Rh4 0.750 0.375 0.125  0.16
O1 0.228 0.615 0.842  0.07
O2 0.728 0.592 0.865  0.07
O3 0.272 0.137 0.865  0.07
O4 0.772 0.615 0.387  0.07
O5 0.272 0.135 0.408  0.07
O6 0.772 0.158 0.385  0.07
O7 0.228 0.613 0.385  0.07
O8 0.728 0.135 0.863  0.07


No. 16
Compound: BaLaZr2
Source: Alexandria
Functional: SCAN
Structure: single point on PBEsol structure

Energy of formation from the pure elements ... 201.3 kJ/mol of formula units
Uncorrected energy ... -35.492 eV per atom
Density of states at the Fermi level ... 1.204 states/eV per atom
Offset from the most stable computed form ... 0.52 eV/f.u.

a b c (Å): 3.405 5.870 6.856
angles (deg): 115.35 104.38 90.00
Atoms (fractional coordinates):
Ba1 0.488 0.488 0.975
La1 0.267 0.767 0.534
Zr1 0.022 0.022 0.045
Zr2 0.723 0.223 0.447


No. 17
Compound: Sc2Mn3Si
Source: Alexandria
Functional: SCAN
Structure: single point on PBEsol structure

Formation energy without anion corrections ... -0.33 eV/atom
Uncorrected energy ... -15.871 eV per atom
Density of states at the Fermi level ... 0.568 states/eV per atom

a b c (Å): 4.852 4.852 8.003
angles (deg): 90.00 90.00 120.00
Atoms (fractional coordinates):
Sc1 0.333 0.667 0.934
Sc2 0.667 0.333 0.066
Sc3 0.667 0.333 0.434
Sc4 0.333 0.667 0.566
Mn1 0.650 0.825 0.250
Mn2 0.350 0.175 0.750
Mn3 0.175 0.350 0.250
Mn4 0.825 0.650 0.750
Mn5 0.175 0.825 0.250
Mn6 0.825 0.175 0.750
Si1 0.000 0.000 0.500
Si2 0.000 0.000 0.000


No. 18
Compound: MnTl2Ir
Source: Alexandria
Functional: SCAN
Structure: single point on PBEsol structure

Energy of formation from the pure elements ... 49.0 kJ/mol of formula units
Uncorrected energy ... -58.391 eV per atom
Density of states at the Fermi level ... 0.599 states/eV per atom
Offset from the most stable computed form ... 0.00 eV/f.u.

a b c (Å): 3.059 3.059 8.455
angles (deg): 90.00 90.00 90.00
Last column: magnetic moment on the atom in μB.
Atoms (fractional coordinates):
Ir1 0.000 0.000 0.547  0.17
Mn1 0.500 0.500 0.702  3.85
Tl1 0.000 0.000 0.953  0.00
Tl2 0.500 0.500 0.297  0.02


No. 19
Compound: NaSn3B
Source: Alexandria
Functional: SCAN
Structure: single point on PBEsol structure

Energy of formation from the pure elements ... 261.6 kJ/mol of formula units
Uncorrected energy ... -23.339 eV per atom
Density of states at the Fermi level ... 0.419 states/eV per atom

a b c (Å): 4.919 4.919 4.919
angles (deg): 90.00 90.00 90.00
Atoms (fractional coordinates):
Na1 0.500 0.500 0.500
B1 0.000 0.000 0.000
Sn1 0.000 0.500 0.000
Sn2 0.000 0.000 0.500
Sn3 0.500 0.000 0.000


No. 20
Compound: Tl2InW
Source: Alexandria
Functional: SCAN
Structure: single point on PBEsol structure

Energy of formation from the pure elements ... 371.8 kJ/mol of formula units
Uncorrected energy ... -60.984 eV per atom
Density of states at the Fermi level ... 0.459 states/eV per atom
Offset from the most stable computed form ... 1.22 eV/f.u.

a b c (Å): 3.760 4.666 5.639
angles (deg): 114.44 109.47 90.00
Atoms (fractional coordinates):
In1 0.765 0.265 0.529
Tl1 0.001 0.001 0.003
Tl2 0.237 0.737 0.475
W1 0.496 0.496 0.993